The following is a DFT calculation (GGA-PBE) of a relaxed CaPm12Pr6 crystal.

## Properties
Symmetry ... R-3m, No. 166

The structure in POSCAR format:
```
CaPm12Pr6
1.0
6.837 3.948 4.304
-6.837 3.948 4.304
0.000 -7.895 4.304
Ca Pm Pr
1 12 6
Direct
0.000 0.000 0.000
0.083 0.358 0.358
0.240 0.500 0.760
0.240 0.760 0.500
0.358 0.083 0.358
0.358 0.358 0.083
0.500 0.240 0.760
0.500 0.760 0.240
0.642 0.642 0.917
0.642 0.917 0.642
0.760 0.240 0.500
0.760 0.500 0.240
0.917 0.642 0.642
0.097 0.097 0.657
0.097 0.657 0.097
0.343 0.903 0.903
0.657 0.097 0.097
0.903 0.343 0.903
0.903 0.903 0.343
```

---

The following is a DFT calculation (GGA-PBE) of a relaxed CaPm2Pr crystal.

## Properties
Distance to the lowest polymorph of the same formula ... 93 meV per atom
Symmetry ... R-3m, No. 166

The structure in POSCAR format:
```
CaPm2Pr
1.0
3.629 0.000 0.000
-1.815 3.143 0.000
0.000 0.000 38.842
Ca Pm Pr
3 6 3
Direct
0.000 0.000 0.000
0.333 0.667 0.667
0.667 0.333 0.333
0.000 0.000 0.090
0.000 0.000 0.910
0.333 0.667 0.576
0.333 0.667 0.757
0.667 0.333 0.243
0.667 0.333 0.424
0.000 0.000 0.500
0.333 0.667 0.167
0.667 0.333 0.833
```

---

The following is a DFT calculation (GGA-PBE) of a relaxed CaPm5Pr5 crystal.

## Properties
Symmetry ... P-6m2, No. 187

The structure in POSCAR format:
```
CaPm5Pr5
1.0
6.334 0.000 0.000
-3.167 5.485 0.000
0.000 0.000 11.759
Ca Pm Pr
1 5 5
Direct
0.000 0.000 0.000
0.005 0.502 0.500
0.498 0.502 0.500
0.498 0.995 0.500
0.667 0.333 0.266
0.667 0.333 0.734
0.000 0.000 0.317
0.000 0.000 0.683
0.333 0.667 0.169
0.333 0.667 0.831
0.667 0.333 0.000
```

---

The following is a DFT calculation (GGA-PBE) of a relaxed CaPmPr4 crystal.

## Properties
Distance to the lowest polymorph of the same formula ... 143 meV per atom
Symmetry ... Imm2, No. 44

The structure in POSCAR format:
```
CaPmPr4
1.0
3.614 0.000 0.000
0.000 6.730 0.000
0.000 0.000 18.266
Ca Pm Pr
2 2 8
Direct
0.000 0.000 0.000
0.500 0.500 0.500
0.000 0.500 0.682
0.500 0.000 0.182
0.000 0.000 0.511
0.000 0.240 0.337
0.000 0.500 0.172
0.000 0.760 0.337
0.500 0.000 0.672
0.500 0.260 0.837
0.500 0.500 0.011
0.500 0.740 0.837
```

---

The following is a DFT calculation (GGA-PBE) of a relaxed CaPmPr2 crystal.

## Properties
Distance to the lowest polymorph of the same formula ... 91 meV per atom
Symmetry ... R-3m, No. 166

The structure in POSCAR format:
```
CaPmPr2
1.0
3.648 0.000 0.000
-1.824 3.160 0.000
0.000 0.000 39.048
Ca Pm Pr
3 3 6
Direct
0.000 0.000 0.000
0.333 0.667 0.667
0.667 0.333 0.333
0.000 0.000 0.500
0.333 0.667 0.167
0.667 0.333 0.833
0.000 0.000 0.091
0.000 0.000 0.909
0.333 0.667 0.576
0.333 0.667 0.758
0.667 0.333 0.242
0.667 0.333 0.424
```

---

The following is a DFT calculation (GGA-PBE) of a relaxed CaPmPr3 crystal.

## Properties
Distance to the lowest polymorph of the same formula ... 264 meV per atom
Symmetry ... R-3, No. 148

The structure in POSCAR format:
```
CaPmPr3
1.0
3.131 1.808 11.997
-3.131 1.808 11.997
0.000 -3.615 11.997
Ca Pm Pr
2 2 6
Direct
0.166 0.166 0.166
0.834 0.834 0.834
0.334 0.334 0.334
0.666 0.666 0.666
0.083 0.748 0.409
0.252 0.591 0.917
0.409 0.083 0.748
0.591 0.917 0.252
0.748 0.409 0.083
0.917 0.252 0.591
```

---

The following is a DFT calculation (GGA-PBE) of a relaxed CaPmPr2 crystal.

## Properties
Distance to the lowest polymorph of the same formula ... 43 meV per atom
Symmetry ... P4/mmm, No. 123

The structure in POSCAR format:
```
CaPmPr2
1.0
5.287 0.000 0.000
0.000 5.287 0.000
0.000 0.000 5.190
Ca Pm Pr
1 1 2
Direct
0.000 0.000 0.000
0.500 0.500 0.000
0.000 0.500 0.500
0.500 0.000 0.500
```

---

The following is a DFT calculation (GGA-PBE) of a relaxed CaPm3Pr8 crystal.

## Properties
Symmetry ... Cm, No. 8

The structure in POSCAR format:
```
CaPm3Pr8
1.0
9.410 -1.793 0.000
9.410 1.793 0.000
-3.341 0.000 12.993
Ca Pm Pr
1 3 8
Direct
0.000 0.000 0.000
0.471 0.471 0.737
0.639 0.639 0.649
0.827 0.827 0.095
0.149 0.149 0.412
0.322 0.322 0.331
0.490 0.490 0.254
0.660 0.660 0.912
0.662 0.662 0.176
0.813 0.813 0.568
0.816 0.816 0.824
0.982 0.982 0.494
```

---

| no. | E (hartree per atom) | formation energy from the elements (kJ per mole of atoms) |
| --- | --- | --- |
| 1 | -0.163 | 17.7 |
| 2 | -0.145 | 13.0 |
| 3 | -0.156 | 25.7 |
| 4 | -0.152 | 16.2 |
| 5 | -0.145 | 11.5 |
| 6 | -0.142 | 33.3 |
| 7 | -0.147 | 6.8 |
| 8 | -0.162 | 12.9 |